(1)
The following is a PBE-GGA calculation of crystalline CsNbAlO4 at its relaxed geometry, from Alexandria via LeMat-Bulk.

Energy relative to the elements, uncorrected: -2331 meV/atom
Space-group type: F-43m (216)

a b c (Å): 6.051 6.051 6.051
angles (deg): 60.00 60.00 60.00
Each line ends with the local moment (μB).
Fractional positions:
1 O 0.892 0.369 0.369  0.01
2 O 0.369 0.892 0.369  0.01
3 O 0.369 0.369 0.369  0.01
4 O 0.369 0.369 0.892  0.01
5 Nb 0.500 0.500 0.500  0.78
6 Al 0.250 0.250 0.250  0.01
7 Cs 0.750 0.750 0.750  0.00

---

(2)
The following is a PBE-GGA calculation of crystalline BTe2SI at its relaxed geometry, from Alexandria via LeMat-Bulk.

Energy relative to the elements, uncorrected: 990 meV/atom
Space-group type: P4/mmm (123)

a b c (Å): 4.977 4.977 4.785
angles (deg): 90.00 90.00 90.00
Fractional positions:
1 S 0.500 0.500 0.500
2 B 0.000 0.000 0.000
3 Te 0.500 0.000 0.000
4 Te 0.000 0.500 0.000
5 I 0.000 0.000 0.500

---

What is the energy relative to the elements, uncorrected in the first record?
-2331 meV/atom

---

What did the first record say?
The following is a PBE-GGA calculation of crystalline CsNbAlO4 at its relaxed geometry, from Alexandria via LeMat-Bulk.

Energy relative to the elements, uncorrected: -2331 meV/atom
Space-group type: F-43m (216)

a b c (Å): 6.051 6.051 6.051
angles (deg): 60.00 60.00 60.00
Each line ends with the local moment (μB).
Fractional positions:
1 O 0.892 0.369 0.369  0.01
2 O 0.369 0.892 0.369  0.01
3 O 0.369 0.369 0.369  0.01
4 O 0.369 0.369 0.892  0.01
5 Nb 0.500 0.500 0.500  0.78
6 Al 0.250 0.250 0.250  0.01
7 Cs 0.750 0.750 0.750  0.00

---

What did the second record say?
The following is a PBE-GGA calculation of crystalline BTe2SI at its relaxed geometry, from Alexandria via LeMat-Bulk.

Energy relative to the elements, uncorrected: 990 meV/atom
Space-group type: P4/mmm (123)

a b c (Å): 4.977 4.977 4.785
angles (deg): 90.00 90.00 90.00
Fractional positions:
1 S 0.500 0.500 0.500
2 B 0.000 0.000 0.000
3 Te 0.500 0.000 0.000
4 Te 0.000 0.500 0.000
5 I 0.000 0.000 0.500